This record from Alexandria describes CeTlCu after structural relaxation. The functional is PBE.

Computed properties:
**E_form**: -36 meV per atom
**DOS(E_F)**: 1.44 states/eV per atom
**SG**: No. 107
**Electronic total energy**: -12.5 eV per cell

a = 3.3567 Å, b = 3.3567 Å, c = 6.4602 Å
α = 105.06°, β = 105.06°, γ = 90.00°
Closest atoms and distances in Å follow each position.
Element x y z (fractional)
Tl 0.2607 0.2607 0.5214  4 Cu 2.90
Ce 0.9672 0.9672 0.9344  4 Cu 3.02, 4 Ce 3.36
Cu 0.6221 0.6221 0.2441  4 Tl 2.90, 4 Ce 3.02



This record from Alexandria describes Cs3Ag2F6 after structural relaxation. The functional is PBE.

Computed properties:
**Formation energy from raw total energies**: -22.16 eV/f.u.
**DOS(E_F)**: 0.19 states/eV per atom
**SG**: No. 139
**Electronic total energy**: -41.7 eV per cell

a = 4.4542 Å, b = 4.4542 Å, c = 12.7627 Å
α = 100.05°, β = 100.05°, γ = 90.00°
Closest atoms and distances in Å follow each position.
Element x y z (fractional)
Cs 0.0000 0.0000 0.0000  8 F 3.06
Cs 0.8136 0.8136 0.6273  5 F 2.96-3.16
Cs 0.1864 0.1864 0.3727  5 F 2.96-3.16
Ag 0.4030 0.4030 0.8061  5 F 2.25-2.40
Ag 0.5970 0.5970 0.1939  5 F 2.25-2.40
F 0.0851 0.5851 0.1703  2 Ag 2.25
F 0.5851 0.0851 0.1703  2 Ag 2.25
F 0.9149 0.4149 0.8297  2 Ag 2.25
F 0.4149 0.9149 0.8297  2 Ag 2.25
F 0.6940 0.6940 0.3879  1 Ag 2.40
F 0.3060 0.3060 0.6121  1 Ag 2.40



This record from Alexandria describes KLa2Ta after structural relaxation. The functional is PBE.

Computed properties:
**E above lowest polymorph**: 321 meV/atom
**E_form**: 742 meV per atom
**DOS(E_F)**: 1.27 states/eV per atom
**SG**: No. 8
**Electronic total energy**: -19.8 eV per cell

a = 5.7028 Å, b = 5.7028 Å, c = 8.4266 Å
α = 87.13°, β = 87.13°, γ = 33.28°
Closest atoms and distances in Å follow each position.
Element x y z (fractional)
K 0.2449 0.2449 0.2730  2 K 3.27
La 0.0061 0.0061 0.9236  2 Ta 3.16, 3 La 3.27-3.39
La 0.7570 0.7570 0.6999  3 Ta 3.05-3.12, 3 La 3.27-3.39
Ta 0.4920 0.4920 0.6035  5 La 3.05-3.16, 2 Ta 3.27



This record from Alexandria describes K2ZnPdN after structural relaxation. The functional is PBE.

Computed properties:
**Formation energy from raw total energies**: 1.78 eV/f.u.
**DOS(E_F)**: 0.37 states/eV per atom
**SG**: No. 123
**Electronic total energy**: -15.2 eV per cell

a = 6.2484 Å, b = 3.4915 Å, c = 6.2484 Å
α = 90.00°, β = 90.00°, γ = 90.00°
Closest atoms and distances in Å follow each position.
Element x y z (fractional)
Zn 0.0000 0.0000 0.0000  2 N 1.75
K 0.0000 0.0000 0.5000  2 Zn 3.12, 2 K 3.49
K 0.5000 0.0000 0.0000  2 Zn 3.12, 2 K 3.49
Pd 0.5000 0.5000 0.5000  2 Pd 3.49, 8 K 3.58
N 0.0000 0.5000 0.0000  2 Zn 1.75



- The lowest DOS(E_F) belongs to which entry?
  Cs3Ag2F6